Material: UZn7Ni5
Method: DFT, GGA-PBE
State: optimized geometry

Geometry as extended XYZ:
```
13
Lattice="-2.5164 4.1828 4.3734 2.5164 -4.1828 4.3734 2.5164 4.1828 -4.3734" Properties=species:S:1:pos:R:3 pbc="T T T"
U 0.0000 0.0000 0.0000
Zn 2.5164 -1.4839 2.1276
Zn 0.0000 0.0000 3.0607
Zn 2.5164 1.4839 2.1276
Zn 0.0000 4.1828 0.0000
Zn 0.0000 2.6989 2.2458
Zn 0.0000 0.0000 5.6862
Zn 0.0000 5.6667 2.2458
Ni 2.5164 0.0000 0.0000
Ni 1.2737 2.1683 0.0000
Ni 1.2428 -2.0146 4.3734
Ni 1.2737 6.1974 0.0000
Ni 1.2428 2.0146 4.3734
```

* calculated volume: 184.1 Å³/cell
* DFT formation energy: -16.1 kJ/mol of atoms
* space group: Immm
* M_tot: 0.6 μB per formula unit
* VASP energy: -3.9443 eV/atom



Material: UZn4Ni5
Method: DFT, GGA-PBE
State: optimized geometry

Geometry as extended XYZ:
```
10
Lattice="2.9488 0.0000 0.0000 0.0000 2.9488 0.0000 0.0000 0.0000 14.9889" Properties=species:S:1:pos:R:3 pbc="T T T"
U 0.0000 0.0000 0.0000
Zn 0.0000 0.0000 3.2928
Zn 0.0000 0.0000 6.0955
Zn 0.0000 0.0000 8.8934
Zn 0.0000 0.0000 11.6962
Ni 1.4744 1.4744 1.8572
Ni 1.4744 1.4744 4.6992
Ni 1.4744 1.4744 7.4945
Ni 1.4744 1.4744 10.2897
Ni 1.4744 1.4744 13.1317
```

* calculated volume: 130.3 Å³/cell
* DFT formation energy: -19.4 kJ/mol of atoms
* space group: P4/mmm
* M_tot: 0.3 μB per formula unit
* VASP energy: -4.7306 eV/atom



Material: UZn6Ni6
Method: DFT, GGA-PBE
State: optimized geometry

Geometry as extended XYZ:
```
13
Lattice="-2.4591 4.1644 4.3223 2.4591 -4.1644 4.3223 2.4591 4.1644 -4.3223" Properties=species:S:1:pos:R:3 pbc="T T T"
U 0.0000 0.0000 0.0000
Zn 2.4591 0.0000 1.8092
Zn 0.0000 2.8749 0.0000
Zn 0.0000 0.0000 3.0495
Zn 0.0000 0.0000 5.5950
Zn 0.0000 5.4538 0.0000
Zn 0.0000 4.1644 2.5131
Ni 1.2295 2.0822 -2.1611
Ni 1.2295 -2.0822 2.1611
Ni 2.4591 1.8148 0.0000
Ni -1.2295 2.0822 2.1611
Ni 1.2295 2.0822 2.1611
Ni 0.0000 2.3496 4.3223
```

* calculated volume: 177.0 Å³/cell
* DFT formation energy: -17.0 kJ/mol of atoms
* space group: Immm
* M_tot: 1.9 μB per formula unit
* VASP energy: -4.3007 eV/atom



Material: UZnNi
Method: DFT, GGA-PBE
State: optimized geometry

Geometry as extended XYZ:
```
6
Lattice="2.9345 0.0000 0.0000 0.0000 2.9345 0.0000 0.0000 0.0000 11.1398" Properties=species:S:1:pos:R:3 pbc="T T T"
U 0.0000 0.0000 0.0000
U 1.4673 1.4673 5.5699
Zn 0.0000 0.0000 3.2837
Zn 1.4673 1.4673 8.8536
Ni 0.0000 0.0000 7.3959
Ni 1.4673 1.4673 1.8260
```

* calculated volume: 95.9 Å³/cell
* DFT formation energy: -5.8 kJ/mol of atoms
* space group: I4mm
* M_tot: 1.0 μB per formula unit
* VASP energy: -6.1741 eV/atom



Material: UZn8Ni4
Method: DFT, GGA-PBE
State: optimized geometry

Geometry as extended XYZ:
```
13
Lattice="-4.3035 4.3035 2.5217 4.3035 -4.3035 2.5217 4.3035 4.3035 -2.5217" Properties=species:S:1:pos:R:3 pbc="T T T"
U 0.0000 0.0000 0.0000
Zn 2.9651 0.0000 0.0000
Zn 5.6420 0.0000 0.0000
Zn 4.3035 2.3959 0.0000
Zn 0.0000 2.9651 0.0000
Zn 2.3959 4.3035 0.0000
Zn 1.9076 0.0000 2.5217
Zn 0.0000 5.6420 0.0000
Zn 0.0000 1.9076 2.5217
Ni 2.1518 2.1518 -1.2608
Ni 2.1518 -2.1518 1.2608
Ni -2.1518 2.1518 1.2608
Ni 2.1518 2.1518 1.2608
```

* calculated volume: 186.8 Å³/cell
* DFT formation energy: -13.1 kJ/mol of atoms
* space group: I4/mmm
* M_tot: 3.0 μB per formula unit
* VASP energy: -3.5669 eV/atom



Material: UZnNi5
Method: DFT, GGA-PBE
State: optimized geometry

Geometry as extended XYZ:
```
14
Lattice="5.1451 0.0000 0.0000 0.0000 7.4739 0.0000 0.0000 0.0000 5.0145" Properties=species:S:1:pos:R:3 pbc="T T T"
U 0.0000 0.0000 0.0000
U 2.5725 3.7370 0.0000
Zn 0.0000 3.7370 2.5073
Zn 2.5725 0.0000 2.5073
Ni 0.0000 3.7370 0.0000
Ni 1.2863 1.8685 1.2939
Ni 1.2863 1.8685 3.7207
Ni 1.2863 5.6054 1.2939
Ni 1.2863 5.6054 3.7207
Ni 2.5725 0.0000 0.0000
Ni 3.8588 1.8685 1.2939
Ni 3.8588 1.8685 3.7207
Ni 3.8588 5.6054 1.2939
Ni 3.8588 5.6054 3.7207
```

* calculated volume: 192.8 Å³/cell
* DFT formation energy: -8.7 kJ/mol of atoms
* space group: Cmmm
* M_tot: 0.4 μB per formula unit
* VASP energy: -6.0146 eV/atom